Below is a relaxed structure of BaV2O6, with properties calculated at the GGA+U level.

Summary:
* final energy: -7.401 eV/atom
* SG: C222 (21)
* total magnetic moment: 0.008 μB/atom

Geometry as extended XYZ:
```
27
Lattice="4.3085 -6.4760 0.0000 4.3085 6.4760 0.0000 0.0000 0.0000 8.0759" Properties=species:S:1:pos:R:3 pbc="T T T"
Ba 0.0000 0.0000 0.0000
Ba 4.3085 4.3411 4.0379
Ba 4.3085 -4.3411 4.0379
V 2.1543 3.2380 7.5509
V 2.7965 0.9610 2.0942
V 2.7965 -0.9610 5.9816
V 2.1543 -3.2380 0.5250
V 5.8205 0.9610 5.9816
V 5.8205 -0.9610 2.0942
O 3.4992 3.5684 6.5995
O 2.3846 1.7350 0.4907
O 1.4280 0.0118 2.4082
O 1.4280 -0.0118 5.6676
O 2.8586 2.0838 3.3231
O 5.1178 3.5684 1.4764
O 2.3846 -1.7350 7.5852
O 2.8586 -2.0838 4.7527
O 4.3085 0.0000 1.9973
O 4.3085 0.0000 6.0786
O 5.7585 2.0838 4.7527
O 6.2324 1.7350 7.5852
O 3.4992 -3.5684 1.4764
O 5.7585 -2.0838 3.3231
O 7.1890 0.0118 5.6676
O 7.1890 -0.0118 2.4082
O 6.2324 -1.7350 0.4907
O 5.1178 -3.5684 6.5995
```